Entry from Alexandria via LeMat-Bulk: a relaxed Y2Os2Se crystal (PBE).

Cell: 5.577 5.577 7.423 Å, 90.00 90.00 90.00°
Space group I4/mmm (No. 139)
Unique sites:
1 Y 0.000 0.500 0.250 x4
2 Os 0.000 0.000 0.164 x4
3 Se 0.000 0.000 0.500 x2

Volume (Å³/cell): 230.9
DOS(E_F) (states/eV per cell): 9.84
Energy (eV per atom): -7.724
Energy relative to the elements, uncorrected (eV per atom): 0.05